Crystalline CaNbAs2Se at its relaxed geometry. Source: Alexandria, functional GGA-PBE.

Properties
size of the total moment	0.000	μB/atom
E_form (uncorrected)	-0.467	eV per atom
crystal system	tetragonal

Unit cell a=5.0030 b=5.0030 c=5.1715 alpha=90.00 beta=90.00 gamma=90.00
Space group P4/mmm (No. 123)
Unique sites:
Ca 0.0000 0.0000 0.0000 [1 per cell]
Nb 0.5000 0.5000 0.5000 [1 per cell]
As 0.0000 0.5000 0.5000 [2 per cell]
Se 0.5000 0.5000 0.0000 [1 per cell]

Crystalline ReSn2AsCl at its relaxed geometry. Source: Alexandria, functional GGA-PBE.

Properties
size of the total moment	0.461	μB/atom
E_form (uncorrected)	0.911	eV per atom
crystal system	tetragonal

Unit cell a=5.6589 b=5.6589 c=4.6536 alpha=90.00 beta=90.00 gamma=90.00
Space group P4/mmm (No. 123)
Unique sites:
Re 0.0000 0.0000 0.0000 [1 per cell]
Sn 0.0000 0.5000 0.5000 [2 per cell]
As 0.0000 0.0000 0.5000 [1 per cell]
Cl 0.5000 0.5000 0.0000 [1 per cell]

Crystalline CrIn3 at its relaxed geometry. Source: Alexandria, functional GGA-PBE.

Properties
size of the total moment	0.914	μB/atom
crystal system	cubic

Unit cell a=5.6559 b=5.6559 c=5.6559 alpha=90.00 beta=90.00 gamma=90.00
Space group Pm-3n (No. 223)
Unique sites:
Cr 0.0000 0.0000 0.0000 [2 per cell]
In 0.0000 0.2500 0.5000 [6 per cell]

Crystalline La3Tb2Y5 at its relaxed geometry. Source: Alexandria, functional GGA-PBE.

Properties
size of the total moment	0.000	μB/atom
crystal system	monoclinic

Unit cell a=10.8205 b=16.6840 c=9.2805 alpha=90.00 beta=125.58 gamma=90.00
Space group C2/c (No. 15)
Unique sites:
La 0.0000 0.2314 0.2500 [4 per cell]
La 0.1461 0.1265 0.0495 [8 per cell]
Tb 0.1472 0.3810 0.5395 [8 per cell]
Y 0.0000 0.0253 0.2500 [4 per cell]
Y 0.0000 0.2752 0.7500 [4 per cell]
Y 0.0000 0.4704 0.7500 [4 per cell]
Y 0.2411 0.3853 0.2326 [8 per cell]

Crystalline La2Tc12B7 at its relaxed geometry. Source: Alexandria, functional GGA-PBE.

Properties
size of the total moment	0.000	μB/atom
crystal system	trigonal

Unit cell a=10.2147 b=10.2147 c=3.0829 alpha=90.00 beta=90.00 gamma=120.00
Space group P-3 (No. 147)
Unique sites:
La 0.3333 0.6667 0.2488 [2 per cell]
Tc 0.0501 0.6208 0.7489 [6 per cell]
Tc 0.1141 0.8650 0.2576 [6 per cell]
B 0.0000 0.0000 0.5000 [1 per cell]
B 0.1139 0.4051 0.7483 [6 per cell]

Values for final energy, eV per atom, ordered as above
-5.44, -4.48, -4.14, -5.46, -8.70